No. 1
! Mg4NiRh2 | Alexandria via LeMat-Bulk | PBE | relaxed; values from VASP
! Calculated density = 5.08 g/cm³
! DFT formation energy = -27.5 kJ/mol of atoms
! Volume = 16.89 A^3/atom
! Space group = R-3m
&SYSTEM
  ibrav = 0, nat = 7, ntyp = 3
/
ATOMIC_SPECIES
Mg 24.30 Mg.upf
Ni 58.69 Ni.upf
Rh 102.91 Rh.upf
CELL_PARAMETERS angstrom
2.2063 1.2738 7.0118
-2.2063 1.2738 7.0118
0.0000 -2.5476 7.0118
ATOMIC_POSITIONS angstrom
Mg 0.0000 0.0000 2.5194
Mg 0.0000 0.0000 7.8339
Mg 0.0000 0.0000 13.2014
Mg 0.0000 0.0000 18.5158
Ni 0.0000 0.0000 10.5176
Rh 0.0000 0.0000 5.1415
Rh 0.0000 0.0000 15.8938



No. 2
! MgNiRuRh | Alexandria via LeMat-Bulk | PBE | relaxed; values from VASP
! Calculated density = 8.33 g/cm³
! DFT formation energy = 6.7 kJ/mol of atoms
! Volume = 14.30 A^3/atom
! Space group = F-43m
&SYSTEM
  ibrav = 0, nat = 4, ntyp = 4
/
ATOMIC_SPECIES
Mg 24.30 Mg.upf
Ni 58.69 Ni.upf
Ru 101.07 Ru.upf
Rh 102.91 Rh.upf
CELL_PARAMETERS angstrom
0.0000 3.0580 3.0580
3.0580 0.0000 3.0580
3.0580 3.0580 0.0000
ATOMIC_POSITIONS angstrom
Mg 0.0000 0.0000 0.0000
Ni 4.5870 4.5870 4.5870
Ru 3.0580 3.0580 3.0580
Rh 1.5290 1.5290 1.5290



No. 3
! Mg2NiSb2Rh | Alexandria via LeMat-Bulk | PBE | relaxed; values from VASP
! Uncorrected formation energy = -253 kJ/mol of formula units
! Calculated density = 6.48 g/cm³
! Volume = 19.38 A^3/atom
! Space group = Ibam
&SYSTEM
  ibrav = 0, nat = 12, ntyp = 4
/
ATOMIC_SPECIES
Mg 24.30 Mg.upf
Ni 58.69 Ni.upf
Sb 121.76 Sb.upf
Rh 102.91 Rh.upf
CELL_PARAMETERS angstrom
-3.0788 6.2329 3.0294
3.0788 -6.2329 3.0294
3.0788 6.2329 -3.0294
ATOMIC_POSITIONS angstrom
Mg 1.5085 1.7293 0.0000
Mg 1.5085 -1.7293 3.0294
Mg 1.5703 7.9622 0.0000
Mg 1.5703 4.5036 3.0294
Ni 3.0788 0.0000 1.5147
Ni 0.0000 6.2329 1.5147
Sb 4.5293 1.5941 0.0000
Sb 1.4505 4.6388 0.0000
Sb 1.6283 1.5941 3.0294
Sb -1.4505 4.6388 3.0294
Rh 0.0000 0.0000 1.5147
Rh 0.0000 0.0000 4.5442



No. 4
! MgNiSbRh | Alexandria via LeMat-Bulk | PBE | relaxed; values from VASP
! Uncorrected formation energy = -138 kJ/mol of formula units
! Calculated density = 8.19 g/cm³
! Volume = 15.59 A^3/atom
! Space group = F-43m
&SYSTEM
  ibrav = 0, nat = 4, ntyp = 4
/
ATOMIC_SPECIES
Mg 24.30 Mg.upf
Ni 58.69 Ni.upf
Sb 121.76 Sb.upf
Rh 102.91 Rh.upf
CELL_PARAMETERS angstrom
0.0000 3.1475 3.1475
3.1475 0.0000 3.1475
3.1475 3.1475 0.0000
ATOMIC_POSITIONS angstrom
Mg 0.0000 0.0000 0.0000
Ni 1.5738 1.5738 1.5738
Sb 3.1475 3.1475 3.1475
Rh 4.7213 4.7213 4.7213



No. 5
! MgScNiRh | Alexandria via LeMat-Bulk | PBE | relaxed; values from VASP
! Calculated density = 6.15 g/cm³
! DFT formation energy = -56.9 kJ/mol of atoms
! Volume = 15.58 A^3/atom
! Space group = P4mm
&SYSTEM
  ibrav = 0, nat = 4, ntyp = 4
/
ATOMIC_SPECIES
Mg 24.30 Mg.upf
Sc 44.96 Sc.upf
Ni 58.69 Ni.upf
Rh 102.91 Rh.upf
CELL_PARAMETERS angstrom
3.2023 0.0000 0.0000
0.0000 3.2023 0.0000
0.0000 0.0000 6.0758
ATOMIC_POSITIONS angstrom
Mg 0.0000 0.0000 0.0000
Sc 0.0000 0.0000 3.0742
Ni 1.6012 1.6012 4.5880
Rh 1.6012 1.6012 1.5357



No. 6
! Mg2Sc5NiRh2 | Alexandria via LeMat-Bulk | PBE | relaxed; values from VASP
! Calculated density = 4.43 g/cm³
! DFT formation energy = -46.4 kJ/mol of atoms
! Volume = 20.18 A^3/atom
! Space group = P4/mbm
&SYSTEM
  ibrav = 0, nat = 20, ntyp = 4
/
ATOMIC_SPECIES
Mg 24.30 Mg.upf
Sc 44.96 Sc.upf
Ni 58.69 Ni.upf
Rh 102.91 Rh.upf
CELL_PARAMETERS angstrom
11.1824 0.0000 0.0000
0.0000 11.1824 0.0000
0.0000 0.0000 3.2273
ATOMIC_POSITIONS angstrom
Mg 2.0060 3.5852 0.0000
Mg 3.5852 9.1765 0.0000
Mg 7.5972 2.0060 0.0000
Mg 9.1765 7.5972 0.0000
Sc 0.0000 5.5912 1.6136
Sc 0.6721 9.0377 1.6136
Sc 2.1448 0.6721 1.6136
Sc 3.4464 6.2633 1.6136
Sc 4.9191 3.4464 1.6136
Sc 5.5912 0.0000 1.6136
Sc 6.2633 7.7360 1.6136
Sc 7.7360 4.9191 1.6136
Sc 9.0377 10.5103 1.6136
Sc 10.5103 2.1448 1.6136
Ni 0.0000 0.0000 0.0000
Ni 5.5912 5.5912 0.0000
Rh 1.5191 7.1104 0.0000
Rh 4.0721 1.5191 0.0000
Rh 7.1104 9.6633 0.0000
Rh 9.6633 4.0721 0.0000



No. 7
! Mg2Sc5Ni2Rh | Alexandria via LeMat-Bulk | PBE | relaxed; values from VASP
! Calculated density = 4.18 g/cm³
! DFT formation energy = -41.2 kJ/mol of atoms
! Volume = 19.60 A^3/atom
! Space group = P4/mbm
&SYSTEM
  ibrav = 0, nat = 20, ntyp = 4
/
ATOMIC_SPECIES
Mg 24.30 Mg.upf
Sc 44.96 Sc.upf
Ni 58.69 Ni.upf
Rh 102.91 Rh.upf
CELL_PARAMETERS angstrom
10.9249 0.0000 0.0000
0.0000 10.9249 0.0000
0.0000 0.0000 3.2841
ATOMIC_POSITIONS angstrom
Mg 1.9248 3.5376 0.0000
Mg 3.5376 9.0001 0.0000
Mg 7.3873 1.9248 0.0000
Mg 9.0001 7.3873 0.0000
Sc 0.0000 5.4625 1.6421
Sc 0.7316 8.7673 1.6421
Sc 2.1577 0.7316 1.6421
Sc 3.3048 6.1940 1.6421
Sc 4.7309 3.3048 1.6421
Sc 5.4625 0.0000 1.6421
Sc 6.1940 7.6201 1.6421
Sc 7.6201 4.7309 1.6421
Sc 8.7673 10.1933 1.6421
Sc 10.1933 2.1577 1.6421
Ni 1.4469 6.9093 0.0000
Ni 4.0156 1.4469 0.0000
Ni 6.9093 9.4780 0.0000
Ni 9.4780 4.0156 0.0000
Rh 0.0000 0.0000 0.0000
Rh 5.4625 5.4625 0.0000



No. 8
! MgScNiRh | Alexandria via LeMat-Bulk | PBE | relaxed; values from VASP
! Calculated density = 6.16 g/cm³
! DFT formation energy = -56.8 kJ/mol of atoms
! Volume = 15.56 A^3/atom
! Space group = F-43m
&SYSTEM
  ibrav = 0, nat = 4, ntyp = 4
/
ATOMIC_SPECIES
Mg 24.30 Mg.upf
Sc 44.96 Sc.upf
Ni 58.69 Ni.upf
Rh 102.91 Rh.upf
CELL_PARAMETERS angstrom
0.0000 3.1455 3.1455
3.1455 0.0000 3.1455
3.1455 3.1455 0.0000
ATOMIC_POSITIONS angstrom
Mg 0.0000 0.0000 0.0000
Sc 3.1455 3.1455 3.1455
Ni 1.5727 1.5727 1.5727
Rh 4.7182 4.7182 4.7182



No. 9
! MgSiNiRh2 | Alexandria via LeMat-Bulk | PBE | relaxed; values from VASP
! Uncorrected formation energy = 510 kJ/mol of formula units
! Calculated density = 6.29 g/cm³
! Volume = 16.74 A^3/atom
! Space group = P4/mmm
&SYSTEM
  ibrav = 0, nat = 5, ntyp = 4
/
ATOMIC_SPECIES
Mg 24.30 Mg.upf
Si 28.09 Si.upf
Ni 58.69 Ni.upf
Rh 102.91 Rh.upf
CELL_PARAMETERS angstrom
4.4638 0.0000 0.0000
0.0000 4.4638 0.0000
0.0000 0.0000 4.2005
ATOMIC_POSITIONS angstrom
Mg 0.0000 0.0000 0.0000
Si 2.2319 2.2319 2.1002
Ni 0.0000 0.0000 2.1002
Rh 0.0000 2.2319 0.0000
Rh 2.2319 0.0000 0.0000



No. 10
! Mg2Si2NiRh5 | Alexandria via LeMat-Bulk | PBE | relaxed; values from VASP
! Uncorrected formation energy = -527 kJ/mol of formula units
! Calculated density = 7.64 g/cm³
! Volume = 14.73 A^3/atom
! Space group = P4/mbm
&SYSTEM
  ibrav = 0, nat = 20, ntyp = 4
/
ATOMIC_SPECIES
Mg 24.30 Mg.upf
Si 28.09 Si.upf
Ni 58.69 Ni.upf
Rh 102.91 Rh.upf
CELL_PARAMETERS angstrom
9.6096 0.0000 0.0000
0.0000 9.6096 0.0000
0.0000 0.0000 3.1904
ATOMIC_POSITIONS angstrom
Mg 1.6442 3.1606 0.0000
Mg 3.1606 7.9654 0.0000
Mg 6.4490 1.6442 0.0000
Mg 7.9654 6.4490 0.0000
Si 1.2698 6.0746 0.0000
Si 3.5351 1.2698 0.0000
Si 6.0746 8.3399 0.0000
Si 8.3399 3.5351 0.0000
Ni 0.0000 0.0000 0.0000
Ni 4.8048 4.8048 0.0000
Rh 0.0000 4.8048 1.5952
Rh 0.6856 7.6746 1.5952
Rh 1.9350 0.6856 1.5952
Rh 2.8698 5.4904 1.5952
Rh 4.1193 2.8698 1.5952
Rh 4.8048 0.0000 1.5952
Rh 5.4904 6.7398 1.5952
Rh 6.7398 4.1193 1.5952
Rh 7.6746 8.9241 1.5952
Rh 8.9241 1.9350 1.5952



No. 11
! Mg2NiSnRh | Alexandria via LeMat-Bulk | PBE | relaxed; values from VASP
! Calculated density = 5.47 g/cm³
! DFT formation energy = 18.2 kJ/mol of atoms
! Volume = 19.98 A^3/atom
! Space group = P4/mmm
&SYSTEM
  ibrav = 0, nat = 5, ntyp = 4
/
ATOMIC_SPECIES
Mg 24.30 Mg.upf
Ni 58.69 Ni.upf
Sn 118.71 Sn.upf
Rh 102.91 Rh.upf
CELL_PARAMETERS angstrom
4.6217 0.0000 0.0000
0.0000 4.6217 0.0000
0.0000 0.0000 4.6760
ATOMIC_POSITIONS angstrom
Mg 0.0000 2.3108 0.0000
Mg 2.3108 0.0000 0.0000
Ni 0.0000 0.0000 0.0000
Sn 0.0000 0.0000 2.3380
Rh 2.3108 2.3108 2.3380



No. 12
! ThMgNiRh | Alexandria via LeMat-Bulk | PBE | relaxed; values from VASP
! Calculated density = 9.06 g/cm³
! DFT formation energy = -44.9 kJ/mol of atoms
! Volume = 19.16 A^3/atom
! Space group = F-43m
&SYSTEM
  ibrav = 0, nat = 4, ntyp = 4
/
ATOMIC_SPECIES
Th 232.04 Th.upf
Mg 24.30 Mg.upf
Ni 58.69 Ni.upf
Rh 102.91 Rh.upf
CELL_PARAMETERS angstrom
0.0000 3.3712 3.3712
3.3712 0.0000 3.3712
3.3712 3.3712 0.0000
ATOMIC_POSITIONS angstrom
Th 0.0000 0.0000 0.0000
Mg 3.3712 3.3712 3.3712
Ni 5.0567 5.0567 5.0567
Rh 1.6856 1.6856 1.6856



No. 13
! Mg2TlNiRh | Alexandria via LeMat-Bulk | PBE | relaxed; values from VASP
! Calculated density = 5.21 g/cm³
! DFT formation energy = 112.1 kJ/mol of atoms
! Volume = 26.41 A^3/atom
! Space group = P4/mmm
&SYSTEM
  ibrav = 0, nat = 5, ntyp = 4
/
ATOMIC_SPECIES
Mg 24.30 Mg.upf
Tl 204.38 Tl.upf
Ni 58.69 Ni.upf
Rh 102.91 Rh.upf
CELL_PARAMETERS angstrom
5.1361 0.0000 0.0000
0.0000 5.1361 0.0000
0.0000 0.0000 5.0049
ATOMIC_POSITIONS angstrom
Mg 0.0000 2.5681 0.0000
Mg 2.5681 0.0000 0.0000
Tl 0.0000 0.0000 0.0000
Ni 2.5681 2.5681 2.5025
Rh 0.0000 0.0000 2.5025



No. 14
! TmMgNiRh | Alexandria via LeMat-Bulk | PBE | relaxed; values from VASP
! Calculated density = 8.69 g/cm³
! DFT formation energy = -51.8 kJ/mol of atoms
! Volume = 16.96 A^3/atom
! Space group = F-43m
&SYSTEM
  ibrav = 0, nat = 4, ntyp = 4
/
ATOMIC_SPECIES
Tm 168.93 Tm.upf
Mg 24.30 Mg.upf
Ni 58.69 Ni.upf
Rh 102.91 Rh.upf
CELL_PARAMETERS angstrom
0.0000 3.2371 3.2371
3.2371 0.0000 3.2371
3.2371 3.2371 0.0000
ATOMIC_POSITIONS angstrom
Tm 0.0000 0.0000 0.0000
Mg 3.2371 3.2371 3.2371
Ni 1.6185 1.6185 1.6185
Rh 4.8556 4.8556 4.8556



No. 15
! MgVNiRh | Alexandria via LeMat-Bulk | PBE | relaxed; values from VASP
! Calculated density = 7.12 g/cm³
! DFT formation energy = -22.7 kJ/mol of atoms
! Volume = 13.81 A^3/atom
! Space group = F-43m
&SYSTEM
  ibrav = 0, nat = 4, ntyp = 4
/
ATOMIC_SPECIES
Mg 24.30 Mg.upf
V 50.94 V.upf
Ni 58.69 Ni.upf
Rh 102.91 Rh.upf
CELL_PARAMETERS angstrom
0.0000 3.0224 3.0224
3.0224 0.0000 3.0224
3.0224 3.0224 0.0000
ATOMIC_POSITIONS angstrom
Mg 0.0000 0.0000 0.0000
V 3.0224 3.0224 3.0224
Ni 1.5112 1.5112 1.5112
Rh 4.5336 4.5336 4.5336



No. 16
! MgZrNiRh | Alexandria via LeMat-Bulk | PBE | relaxed; values from VASP
! Calculated density = 7.14 g/cm³
! DFT formation energy = -51.5 kJ/mol of atoms
! Volume = 16.12 A^3/atom
! Space group = F-43m
&SYSTEM
  ibrav = 0, nat = 4, ntyp = 4
/
ATOMIC_SPECIES
Mg 24.30 Mg.upf
Zr 91.22 Zr.upf
Ni 58.69 Ni.upf
Rh 102.91 Rh.upf
CELL_PARAMETERS angstrom
0.0000 3.1825 3.1825
3.1825 0.0000 3.1825
3.1825 3.1825 0.0000
ATOMIC_POSITIONS angstrom
Mg 0.0000 0.0000 0.0000
Zr 3.1825 3.1825 3.1825
Ni 1.5913 1.5913 1.5913
Rh 4.7738 4.7738 4.7738



No. 17
! Mg2NiRu | Alexandria via LeMat-Bulk | PBE | relaxed; values from VASP
! Calculated density = 5.78 g/cm³
! DFT formation energy = 2.7 kJ/mol of atoms
! Volume = 14.98 A^3/atom
! Space group = P4/mmm
&SYSTEM
  ibrav = 0, nat = 4, ntyp = 3
/
ATOMIC_SPECIES
Mg 24.30 Mg.upf
Ni 58.69 Ni.upf
Ru 101.07 Ru.upf
CELL_PARAMETERS angstrom
2.8399 0.0000 0.0000
0.0000 2.8399 0.0000
0.0000 0.0000 7.4292
ATOMIC_POSITIONS angstrom
Mg 0.0000 0.0000 1.7365
Mg 0.0000 0.0000 5.6926
Ni 1.4199 1.4199 0.0000
Ru 1.4199 1.4199 3.7146



No. 18
! MgNi4Ru | Alexandria via LeMat-Bulk | PBE | relaxed; values from VASP
! Calculated density = 7.92 g/cm³
! DFT formation energy = 2.0 kJ/mol of atoms
! Volume = 12.58 A^3/atom
! Space group = F-43m
&SYSTEM
  ibrav = 0, nat = 6, ntyp = 3
/
ATOMIC_SPECIES
Mg 24.30 Mg.upf
Ni 58.69 Ni.upf
Ru 101.07 Ru.upf
CELL_PARAMETERS angstrom
0.0000 3.3547 3.3547
3.3547 0.0000 3.3547
3.3547 3.3547 0.0000
ATOMIC_POSITIONS angstrom
Mg 0.0000 0.0000 0.0000
Ni 4.1935 2.5159 2.5159
Ni 2.5159 4.1935 2.5159
Ni 2.5159 2.5159 4.1935
Ni 4.1935 4.1935 4.1935
Ru 1.6773 1.6773 1.6773



No. 19
! MgNi2Ru | Alexandria via LeMat-Bulk | PBE | relaxed; values from VASP
! Calculated density = 7.62 g/cm³
! DFT formation energy = 9.4 kJ/mol of atoms
! Volume = 13.22 A^3/atom
! Space group = C2/m
&SYSTEM
  ibrav = 0, nat = 4, ntyp = 3
/
ATOMIC_SPECIES
Mg 24.30 Mg.upf
Ni 58.69 Ni.upf
Ru 101.07 Ru.upf
CELL_PARAMETERS angstrom
4.3132 -1.3118 0.0000
4.3132 1.3118 0.0000
-0.6788 0.0000 4.6723
ATOMIC_POSITIONS angstrom
Mg 0.0000 0.0000 0.0000
Ni 1.6145 0.0000 3.4114
Ni 6.3332 0.0000 1.2610
Ru 3.9738 0.0000 2.3362



No. 20
! MgNi2Ru | Alexandria via LeMat-Bulk | PBE | relaxed; values from VASP
! Calculated density = 7.10 g/cm³
! DFT formation energy = 47.2 kJ/mol of atoms
! Volume = 14.19 A^3/atom
! Space group = I-42d
&SYSTEM
  ibrav = 0, nat = 8, ntyp = 3
/
ATOMIC_SPECIES
Mg 24.30 Mg.upf
Ni 58.69 Ni.upf
Ru 101.07 Ru.upf
CELL_PARAMETERS angstrom
-1.8118 1.8118 8.6429
1.8118 -1.8118 8.6429
1.8118 1.8118 -8.6429
ATOMIC_POSITIONS angstrom
Mg 0.0000 0.0000 0.0000
Mg 0.0000 1.8118 4.3214
Ni 0.9059 -0.8567 6.4822
Ni 0.9551 0.9059 2.1607
Ni 0.9059 2.6685 -2.1607
Ni 0.8567 0.9059 10.8036
Ru 1.8118 0.0000 4.3214
Ru 0.0000 0.0000 8.6429